Compound: La2ScPt
Source: Alexandria
Functional: PBE-GGA
Structure: optimized geometry

Properties
Volume, A^3/atom: 31.1
Offset from the most stable computed form, eV per atom: 0.0919
ΔH_f (0 K), eV/atom: -0.4767
Density of states at the Fermi level, states/eV/atom: 1.6452
Total moment, μB/atom: 0.000
Crystal system: trigonal

a b c (Å): 9.3567 9.3567 9.3567
angles (deg): 24.55 24.55 24.55
Element x y z (fractional)
Pt  0.4904  0.4904  0.4904
La  0.0088  0.0088  0.0088
Sc  0.7760  0.7760  0.7760
La  0.2249  0.2249  0.2249